No. 1
Material: Ni5As2
Method: DFT, PBE
State: optimized geometry

a = 6.8075 Å, b = 6.8075 Å, c = 12.5115 Å
α = 90.00°, β = 90.00°, γ = 120.00°
Closest atoms and distances in Å follow each position.
Element x y z (fractional)
Ni: 0.6667 0.3333 0.0696  4 As 2.45-2.52, 6 Ni 2.61-2.65
Ni: 0.0000 0.0000 0.9246  4 As 2.43-2.45, 6 Ni 2.56-2.60
Ni: 0.3749 0.3749 0.1945  4 As 2.35-2.59, 3 Ni 2.54-2.57
Ni: 0.0000 0.7481 0.5962  3 As 2.38-2.39, 6 Ni 2.51-2.62
Ni: 0.7481 0.7481 0.0962  3 As 2.38-2.39, 6 Ni 2.51-2.62
Ni: 0.3333 0.6667 0.0696  4 As 2.45-2.52, 6 Ni 2.61-2.65
Ni: 0.3749 0.0000 0.6945  4 As 2.35-2.59, 3 Ni 2.54-2.57
Ni: 0.3747 0.3747 0.4067  1 As 2.31, 3 Ni 2.50-2.56
Ni: 0.3100 0.0000 0.3035  4 As 2.31-2.43, 2 Ni 2.51-2.54
Ni: 0.0000 0.0000 0.4246  4 As 2.43-2.45, 6 Ni 2.56-2.60
Ni: 0.3100 0.3100 0.8035  4 As 2.31-2.43, 2 Ni 2.50-2.54
Ni: 0.0000 0.6253 0.4067  1 As 2.31, 3 Ni 2.51-2.56
Ni: 0.6251 0.6251 0.6945  4 As 2.35-2.59, 3 Ni 2.54-2.57
Ni: 0.6253 0.0000 0.4067  1 As 2.31, 3 Ni 2.51-2.56
Ni: 0.6251 0.0000 0.1945  4 As 2.35-2.59, 3 Ni 2.54-2.57
Ni: 0.0000 0.6900 0.8035  4 As 2.31-2.43, 2 Ni 2.51-2.54
Ni: 0.6667 0.3333 0.5696  4 As 2.45-2.52, 6 Ni 2.61-2.65
Ni: 0.6900 0.6900 0.3035  4 As 2.31-2.43, 2 Ni 2.50-2.54
Ni: 0.2519 0.2519 0.5962  3 As 2.38-2.39, 6 Ni 2.51-2.62
Ni: 0.0000 0.6251 0.1945  4 As 2.35-2.59, 3 Ni 2.54-2.57
Ni: 0.2519 0.0000 0.0962  3 As 2.38-2.39, 6 Ni 2.51-2.62
Ni: 0.6900 0.0000 0.8035  4 As 2.31-2.43, 2 Ni 2.51-2.54
Ni: 0.3747 0.0000 0.9067  1 As 2.31, 3 Ni 2.51-2.56
Ni: 0.3333 0.6667 0.5696  4 As 2.45-2.52, 6 Ni 2.61-2.65
Ni: 0.0000 0.3749 0.6945  4 As 2.35-2.59, 3 Ni 2.54-2.57
Ni: 0.6253 0.6253 0.9067  1 As 2.31, 3 Ni 2.50-2.56
Ni: 0.0000 0.2519 0.0962  3 As 2.38-2.39, 6 Ni 2.51-2.62
Ni: 0.0000 0.3100 0.3035  4 As 2.31-2.43, 2 Ni 2.51-2.54
Ni: 0.7481 0.0000 0.5962  3 As 2.38-2.39, 6 Ni 2.51-2.62
Ni: 0.0000 0.3747 0.9067  1 As 2.31, 3 Ni 2.51-2.56
As: 0.3333 0.6667 0.2711  7 Ni 2.35-2.52
As: 0.6693 0.6693 0.4977  8 Ni 2.31-2.48
As: 0.3333 0.6667 0.7711  7 Ni 2.35-2.52
As: 0.0000 0.0000 0.7288  7 Ni 2.31-2.45
As: 0.0000 0.3307 0.4977  8 Ni 2.31-2.48
As: 0.6693 0.0000 0.9977  8 Ni 2.31-2.48
As: 0.0000 0.6693 0.9977  8 Ni 2.31-2.48
As: 0.6667 0.3333 0.2711  7 Ni 2.35-2.52
As: 0.3307 0.3307 0.9977  8 Ni 2.31-2.48
As: 0.0000 0.0000 0.2288  7 Ni 2.31-2.45
As: 0.3307 0.0000 0.4977  8 Ni 2.31-2.48
As: 0.6667 0.3333 0.7711  7 Ni 2.35-2.52

Results
E (Ha/atom): -0.204

No. 2
Material: Cu2Ag3
Method: DFT, PBE
State: optimized geometry

a = 4.8774 Å, b = 5.6752 Å, c = 6.1569 Å
α = 103.37°, β = 95.64°, γ = 107.37°
Closest atoms and distances in Å follow each position.
Element x y z (fractional)
Cu: 0.5048 0.2675 0.0021  4 Cu 2.61-2.83, 6 Ag 2.67-2.82
Cu: 0.8894 0.5449 0.8164  4 Cu 2.61-2.83, 7 Ag 2.68-2.91
Cu: 0.4952 0.7325 0.9979  4 Cu 2.61-2.83, 6 Ag 2.67-2.82
Cu: 0.1106 0.4551 0.1836  4 Cu 2.61-2.83, 7 Ag 2.68-2.91
Ag: 0.3059 0.3542 0.6124  5 Cu 2.67-2.96, 7 Ag 2.81-2.92
Ag: 0.8798 0.0549 0.8134  6 Cu 2.68-2.93, 6 Ag 2.76-2.92
Ag: 0.2838 0.8429 0.6142  4 Cu 2.76-2.89, 8 Ag 2.81-3.02
Ag: 0.6941 0.6458 0.3876  5 Cu 2.67-2.96, 7 Ag 2.81-2.92
Ag: 0.7162 0.1571 0.3858  4 Cu 2.76-2.89, 8 Ag 2.81-3.02
Ag: 0.1202 0.9451 0.1866  6 Cu 2.68-2.93, 6 Ag 2.76-2.92

Results
E (Ha/atom): -0.114

No. 3
Material: YAsIrAu
Method: DFT, PBE
State: optimized geometry

a = 4.7821 Å, b = 4.7821 Å, c = 4.7821 Å
α = 60.00°, β = 60.00°, γ = 60.00°
Closest atoms and distances in Å follow each position.
Element x y z (fractional)
Y: 0.2500 0.2500 0.2500  4 Ir 2.93, 4 As 2.93
Au: 0.7500 0.7500 0.7500  4 As 2.93, 4 Ir 2.93
Ir: 0.0000 0.0000 0.0000  4 Y 2.93, 4 Au 2.93
As: 0.5000 0.5000 0.5000  4 Au 2.93, 4 Y 2.93

Results
E (Ha/atom): -0.220